A relaxed structure of Li7NiO4F2, computed with PBE with a Hubbard U.

## Properties
- Offset from the most stable computed form: 5 meV/atom
- Crystal system: triclinic

a = 5.297 Å, b = 5.730 Å, c = 10.110 Å
α = 75.51°, β = 86.57°, γ = 65.06°
Space group P1 (No. 1)
One atom of each set of equivalent atoms:
Li 0.000 0.000 0.000 [1 per cell]
Li 0.000 0.097 0.607 [1 per cell]
Li 0.013 0.765 0.829 [1 per cell]
Li 0.080 0.588 0.227 [1 per cell]
Li 0.440 0.058 0.468 [1 per cell]
Li 0.484 0.762 0.697 [1 per cell]
Li 0.495 0.708 0.059 [1 per cell]
Li 0.505 0.104 0.160 [1 per cell]
Li 0.506 0.033 0.829 [1 per cell]
Li 0.517 0.399 0.939 [1 per cell]
Li 0.580 0.573 0.370 [1 per cell]
Li 0.935 0.764 0.511 [1 per cell]
Li 0.944 0.123 0.297 [1 per cell]
Li 0.980 0.421 0.729 [1 per cell]
Ni 0.000 0.411 0.013 [1 per cell]
Ni 0.466 0.404 0.589 [1 per cell]
O 0.168 0.633 0.027 [1 per cell]
O 0.189 0.656 0.674 [1 per cell]
O 0.312 0.125 0.983 [1 per cell]
O 0.312 0.161 0.646 [1 per cell]
O 0.657 0.619 0.549 [1 per cell]
O 0.717 0.186 0.473 [1 per cell]
O 0.719 0.640 0.867 [1 per cell]
O 0.779 0.253 0.108 [1 per cell]
F 0.157 0.740 0.353 [1 per cell]
F 0.248 0.215 0.297 [1 per cell]
F 0.686 0.727 0.210 [1 per cell]
F 0.825 0.131 0.810 [1 per cell]

---

A relaxed structure of Li2Ni3OF6, computed with PBE with a Hubbard U.

## Properties
- Crystal system: triclinic

a = 6.017 Å, b = 6.548 Å, c = 7.874 Å
α = 66.66°, β = 69.27°, γ = 79.00°
Space group P-1 (No. 2)
One atom of each set of equivalent atoms:
Li 0.123 0.312 0.060 [2 per cell]
Li 0.318 0.853 0.469 [2 per cell]
Ni 0.074 0.161 0.779 [2 per cell]
Ni 0.218 0.429 0.344 [2 per cell]
Ni 0.354 0.727 0.931 [2 per cell]
O 0.070 0.585 0.135 [2 per cell]
F 0.094 0.706 0.435 [2 per cell]
F 0.176 0.868 0.728 [2 per cell]
F 0.226 0.012 0.999 [2 per cell]
F 0.331 0.154 0.267 [2 per cell]
F 0.369 0.283 0.558 [2 per cell]
F 0.465 0.439 0.865 [2 per cell]

---

A relaxed structure of Li8NiO5F, computed with PBE with a Hubbard U.

## Properties
- Offset from the most stable computed form: 0 meV/atom
- Crystal system: hexagonal

a = 5.5589 Å, b = 5.5589 Å, c = 10.9368 Å
α = 90.00°, β = 90.00°, γ = 120.00°
Space group P6_3 (No. 173)
One atom of each set of equivalent atoms:
Li 0.0172 0.6373 0.0000 [6 per cell]
Li 0.0225 0.3126 0.1508 [6 per cell]
Li 0.3333 0.6667 0.2925 [2 per cell]
Li 0.3333 0.6667 0.8094 [2 per cell]
Ni 0.0000 0.0000 0.3682 [2 per cell]
O 0.0000 0.0000 0.0492 [2 per cell]
O 0.0016 0.6810 0.8262 [6 per cell]
O 0.3333 0.6667 0.0909 [2 per cell]
F 0.3333 0.6667 0.5845 [2 per cell]

---

A relaxed structure of Li4Ni3O2F6, computed with PBE with a Hubbard U.

## Properties
- Crystal system: triclinic

a = 5.132 Å, b = 5.153 Å, c = 5.897 Å
α = 89.51°, β = 72.86°, γ = 79.97°
Space group P-1 (No. 2)
One atom of each set of equivalent atoms:
Li 0.011 0.237 0.363 [2 per cell]
Li 0.014 0.271 0.877 [2 per cell]
Ni 0.497 0.499 0.239 [2 per cell]
Ni 0.500 0.000 0.000 [1 per cell]
O 0.270 0.360 0.058 [2 per cell]
F 0.224 0.865 0.308 [2 per cell]
F 0.241 0.869 0.824 [2 per cell]
F 0.249 0.405 0.565 [2 per cell]

---

A relaxed structure of Li3Ni3OF7, computed with PBE with a Hubbard U.

## Properties
- Crystal system: trigonal

a = 6.0139 Å, b = 6.0139 Å, c = 14.5912 Å
α = 90.00°, β = 90.00°, γ = 120.00°
Space group R3m (No. 160, hexagonal axes)
One atom of each set of equivalent atoms:
Li 0.0000 0.0000 0.0000 [3 per cell]
Li 0.0000 0.0000 0.2565 [3 per cell]
Li 0.0000 0.0000 0.6234 [3 per cell]
Ni 0.0125 0.5062 0.1207 [9 per cell]
O 0.0000 0.0000 0.3862 [3 per cell]
F 0.0000 0.0000 0.8634 [3 per cell]
F 0.0197 0.5098 0.3771 [9 per cell]
F 0.1754 0.3507 0.2064 [9 per cell]

---

A relaxed structure of Li6NiOF6, computed with PBE with a Hubbard U.

## Properties
- Offset from the most stable computed form: 0 meV/atom
- Crystal system: tetragonal

a = 2.904 Å, b = 2.904 Å, c = 28.881 Å
α = 90.00°, β = 90.00°, γ = 90.00°
Space group I4/mmm (No. 139)
One atom of each set of equivalent atoms:
Li 0.000 0.000 0.073 [4 per cell]
Li 0.000 0.000 0.215 [4 per cell]
Li 0.000 0.000 0.355 [4 per cell]
Ni 0.000 0.000 0.500 [2 per cell]
O 0.000 0.000 0.000 [2 per cell]
F 0.000 0.000 0.145 [4 per cell]
F 0.000 0.000 0.285 [4 per cell]
F 0.000 0.000 0.425 [4 per cell]

---

Number 1: V 9.61 Å³ per atom, calculated total energy -4.73 eV/atom. Number 2: V 11.08 Å³ per atom, calculated total energy -4.51 eV/atom. Number 3: V 9.76 Å³ per atom, calculated total energy -4.77 eV/atom. Number 4: V 9.77 Å³ per atom, calculated total energy -4.66 eV/atom. Number 5: V 10.88 Å³ per atom, calculated total energy -4.57 eV/atom. Number 6: V 8.70 Å³ per atom, calculated total energy -4.81 eV/atom.